(1)
First-principles (PBE) data for PrH2O2F after structural relaxation, as listed in OQMD.

Summary:
crystal system: monoclinic
SG: P2_1/m
E_tot: -6.281 eV/atom

```
PrH2O2F
1.0
6.155 0.000 0.000
0.000 3.745 0.000
-2.916 0.000 5.485
O F Pr H
4 2 2 4
Direct
0.391 0.250 0.589 O
0.695 0.250 0.107 O
0.305 0.750 0.893 O
0.609 0.750 0.411 O
0.930 0.250 0.806 F
0.070 0.750 0.194 F
0.667 0.750 0.825 Pr
0.333 0.250 0.175 Pr
0.740 0.750 0.366 H
0.145 0.750 0.750 H
0.260 0.250 0.634 H
0.855 0.250 0.250 H
```

(2)
First-principles (PBE) data for NaPu after structural relaxation, as listed in OQMD.

Summary:
crystal system: cubic
SG: Fm-3m
energy relative to the lowest polymorph listed for this composition: 61.2 kJ per mole of atoms

```
NaPu
1.0
0.000 3.248 3.248
3.248 0.000 3.248
3.248 3.248 0.000
Na Pu
1 1
Direct
0.000 0.000 0.000 Na
0.500 0.500 0.500 Pu
```

(3)
First-principles (PBE) data for LiErNiSn after structural relaxation, as listed in OQMD.

Summary:
crystal system: cubic
SG: F-43m
E_tot: -4.603 eV/atom

```
LiErNiSn
1.0
-0.060 -4.548 0.635
-4.007 -2.226 0.281
-1.328 -2.777 -3.408
Li Ni Er Sn
1 1 1 1
Direct
0.500 0.500 0.500 Li
0.000 0.000 0.000 Ni
0.250 0.250 0.250 Er
0.750 0.750 0.750 Sn
```